(1)
Compound: La2YCdH
Source: Alexandria via LeMat-Bulk
Functional: GGA-PBE
Structure: relaxed

Structure (extended XYZ):
```
5
Lattice="4.967 0.000 0.000 0.000 4.967 0.000 0.000 0.000 5.153" Properties=species:S:1:pos:R:3 pbc="T T T"
La 0.000 2.484 0.000
La 2.484 0.000 0.000
Y 0.000 0.000 2.576
Cd 2.484 2.484 2.576
H 0.000 0.000 0.000
```

Output
Polymorph energy (0 for the lowest one) in kJ/mol of atoms: 0.0

=====

(2)
Compound: La2ZrCdH
Source: Alexandria via LeMat-Bulk
Functional: GGA-PBE
Structure: relaxed

Structure (extended XYZ):
```
5
Lattice="5.279 0.000 0.000 0.000 5.279 0.000 0.000 0.000 4.302" Properties=species:S:1:pos:R:3 pbc="T T T"
La 0.000 2.639 0.000
La 2.639 0.000 0.000
Zr 0.000 0.000 2.151
Cd 2.639 2.639 2.151
H 0.000 0.000 0.000
```

Output
Final energy in eV per atom: -4.67

=====

(3)
Compound: LiCdH3
Source: Alexandria via LeMat-Bulk
Functional: GGA-PBE
Structure: relaxed

Structure (extended XYZ):
```
5
Lattice="3.555 0.000 0.000 0.000 3.555 0.000 0.000 0.000 3.555" Properties=species:S:1:pos:R:3 pbc="T T T"
Li 0.000 0.000 0.000
Cd 1.777 1.777 1.777
H 0.000 0.000 1.777
H 0.000 1.777 0.000
H 1.777 0.000 0.000
```

Output
Final energy in eV per atom: -2.25

=====

(4)
Compound: LiCdH
Source: Alexandria via LeMat-Bulk
Functional: GGA-PBE
Structure: relaxed

Structure (extended XYZ):
```
24
Lattice="5.256 0.000 0.000 0.000 12.346 0.000 0.000 0.000 5.536" Properties=species:S:1:pos:R:3 pbc="T T T"
Li 0.026 0.789 0.000
Li 0.645 2.365 2.596
Li 1.983 8.538 5.364
Li 2.602 6.962 2.768
Li 2.654 5.384 0.000
Li 3.273 3.809 2.596
Li 4.611 9.982 5.364
Li 5.230 11.557 2.768
Cd 0.073 8.659 2.293
Cd 0.147 6.556 4.549
Cd 2.481 0.383 1.782
Cd 2.555 2.486 5.061
Cd 2.701 9.860 2.293
Cd 2.775 11.963 4.549
Cd 5.108 5.790 1.782
Cd 5.183 3.687 5.061
H 0.190 8.501 4.653
H 0.348 0.718 1.827
H 2.280 6.891 4.595
H 2.438 2.328 1.885
H 2.818 10.018 4.653
H 2.976 5.455 1.827
H 4.908 11.629 4.595
H 5.065 3.845 1.885
```

Output
Polymorph energy (0 for the lowest one) in kJ/mol of atoms: 0.0

=====

(5)
Compound: Li2CdH2
Source: Alexandria via LeMat-Bulk
Functional: GGA-PBE
Structure: relaxed

Structure (extended XYZ):
```
10
Lattice="6.442 0.000 0.000 0.000 6.442 0.000 0.000 0.000 3.018" Properties=species:S:1:pos:R:3 pbc="T T T"
Li 1.221 2.000 0.000
Li 2.000 5.221 0.000
Li 4.442 1.221 0.000
Li 5.221 4.442 0.000
Cd 0.000 0.000 1.509
Cd 3.221 3.221 1.509
H 1.138 4.359 1.509
H 2.083 1.138 1.509
H 4.359 5.304 1.509
H 5.304 2.083 1.509
```

Output
Polymorph energy (0 for the lowest one) in kJ/mol of atoms: 8.1

=====

(6)
Compound: Li2CdH6
Source: Alexandria via LeMat-Bulk
Functional: GGA-PBE
Structure: relaxed

Structure (extended XYZ):
```
9
Lattice="0.000 3.285 3.285 3.285 0.000 3.285 3.285 3.285 0.000" Properties=species:S:1:pos:R:3 pbc="T T T"
Li 1.643 1.643 1.643
Li 4.928 4.928 4.928
Cd 0.000 0.000 0.000
H 3.285 3.285 1.887
H 3.285 1.887 3.285
H 4.684 3.285 3.285
H 1.887 3.285 3.285
H 3.285 4.684 3.285
H 3.285 3.285 4.684
```

Output
Final energy in eV per atom: -2.49

=====

(7)
Compound: LiCdH
Source: Alexandria via LeMat-Bulk
Functional: GGA-PBE
Structure: relaxed

Structure (extended XYZ):
```
3
Lattice="3.033 0.000 0.000 -1.516 2.626 0.000 0.000 0.000 5.635" Properties=species:S:1:pos:R:3 pbc="T T T"
Li 0.000 0.000 0.000
Cd 0.000 1.751 2.824
H 1.516 0.875 0.028
```

Output
Polymorph energy (0 for the lowest one) in kJ/mol of atoms: 1.8

=====

(8)
Compound: LiCd2H2
Source: Alexandria via LeMat-Bulk
Functional: GGA-PBE
Structure: relaxed

Structure (extended XYZ):
```
5
Lattice="-2.523 2.523 3.130 2.523 -2.523 3.130 2.523 2.523 -3.130" Properties=species:S:1:pos:R:3 pbc="T T T"
Li 0.000 0.000 0.000
Cd 2.523 0.000 1.565
Cd 0.000 2.523 1.565
H 0.000 0.000 2.738
H 0.000 0.000 3.522
```

Output
Polymorph energy (0 for the lowest one) in kJ/mol of atoms: 6.9

=====

no.,mass density (g/cm³),total moment (μB/f.u.)
1,6.27,0.00
2,6.68,0.00
3,4.52,0.00
4,4.45,0.00
5,3.40,0.00
6,3.10,0.00
7,4.45,0.00
8,4.87,0.00